[1]
Entry from the Open Quantum Materials Database: a relaxed TbTmBi crystal (PBE-GGA).

The total magnetic moment comes out at 0.1 μB per formula unit. The value obtained for the total energy is -13.89 eV/f.u.

abc: 7.271 7.271 7.271
angles: 90.00 90.00 90.00
Space group F-43m (No. 216)
Unique sites:
Tb 0.000 0.000 0.000
Tm 0.000 0.000 0.500
Bi 0.250 0.250 0.250



[2]
Entry from the Open Quantum Materials Database: a relaxed TbTm2Bi3 crystal (PBE-GGA).

The total magnetic moment comes out at 0.0 μB per formula unit. The value obtained for the total energy is -30.71 eV/f.u.

abc: 4.4453 4.4453 10.9005
angles: 90.00 90.00 120.00
Space group P-3m1 (No. 164)
Unique sites:
Tb 0.0000 0.0000 0.0000
Tm 0.3333 0.6667 0.3346
Bi 0.0000 0.0000 0.5000
Bi 0.3333 0.6667 0.8301



[3]
Entry from the Open Quantum Materials Database: a relaxed TbYBi crystal (PBE-GGA).

The total magnetic moment comes out at 0.2 μB per formula unit. The value obtained for the total energy is -16.15 eV/f.u.

abc: 7.325 7.325 7.325
angles: 90.00 90.00 90.00
Space group F-43m (No. 216)
Unique sites:
Tb 0.000 0.000 0.000
Y 0.000 0.000 0.500
Bi 0.250 0.250 0.250



[4]
Entry from the Open Quantum Materials Database: a relaxed Tb5Zn2Bi crystal (PBE-GGA).

The total magnetic moment comes out at 0.1 μB per formula unit. The value obtained for the total energy is -33.03 eV/f.u.

abc: 8.239 8.239 12.766
angles: 90.00 90.00 90.00
Space group I4/mcm (No. 140)
Unique sites:
Tb 0.000 0.000 0.000
Tb 0.151 0.349 0.142
Zn 0.142 0.358 0.500
Bi 0.000 0.000 0.250



[5]
Entry from the Open Quantum Materials Database: a relaxed TcBi crystal (PBE-GGA).

For the offset from the most stable computed form, the calculation gives 0.0000 eV per atom. The total magnetic moment comes out at 0.0 μB per formula unit. The value obtained for the total energy is -13.69 eV/f.u.

abc: 5.194 4.614 7.563
angles: 90.00 90.00 90.00
Space group Pmma (No. 51)
Unique sites:
Tc 0.000 0.000 0.000
Tc 0.250 0.500 0.126
Bi 0.250 0.000 0.352
Bi 0.250 0.500 0.755



[6]
Entry from the Open Quantum Materials Database: a relaxed TcBi crystal (PBE-GGA).

For the offset from the most stable computed form, the calculation gives 0.6845 eV per atom. The total magnetic moment comes out at 1.5 μB per formula unit. The value obtained for the total energy is -12.32 eV/f.u.

abc: 5.650 5.650 5.650
angles: 90.00 90.00 90.00
Space group Fm-3m (No. 225)
Unique sites:
Tc 0.000 0.000 0.000
Bi 0.000 0.000 0.500



- Look up the total magnetic moment of the third one.
  0.2 μB per formula unit



- Which formula does entry 4 have?
  Tb5Zn2Bi